Record 1
# KNdGa4Pt2

A relaxed KNdGa4Pt2 crystal (PBE, OQMD).

The value obtained for the energy is -4.344 eV per atom. The density is 8.475 Mg/m³.

It has space group Amm2 (No. 38), with a = 7.119 Å, b = 4.293 Å, c = 10.930 Å, α = 90.00°, β = 90.00° and γ = 90.00°. Symmetry generates all atoms from K at (0.000, 0.000, 0.000), Nd at (0.500, 0.000, 0.869), Ga at (0.195, 0.000, 0.280), Ga at (0.308, 0.000, 0.587), Pt at (0.000, 0.000, 0.723) and Pt at (0.500, 0.000, 0.148).

Record 2
# KNdGaSe3

A relaxed KNdGaSe3 crystal (PBE, OQMD).

As for the energy above the most stable polymorph in this dataset: 0 meV/atom. The density is 4.784 Mg/m³.

It has space group Pnma (No. 62), with a = 11.592 Å, b = 4.748 Å, c = 12.359 Å, α = 90.00°, β = 90.00° and γ = 90.00°. Symmetry generates all atoms from K at (0.173, 0.250, 0.006), Nd at (0.022, 0.250, 0.327), Ga at (0.240, 0.250, 0.727), Se at (0.053, 0.750, 0.170), Se at (0.102, 0.250, 0.562) and Se at (0.214, 0.750, 0.798).

Record 3
# KNdGaSe3

A relaxed KNdGaSe3 crystal (PBE, OQMD).

As for the energy above the most stable polymorph in this dataset: 13 meV/atom. The density is 4.367 Mg/m³.

It has space group Cmcm (No. 63), with a = 4.616 Å, b = 14.256 Å, c = 11.324 Å, α = 90.00°, β = 90.00° and γ = 90.00°. Symmetry generates all atoms from K at (0.000, 0.249, 0.250), Nd at (0.000, 0.500, 0.000), Ga at (0.000, 0.015, 0.750), Se at (0.000, 0.126, 0.573) and Se at (0.000, 0.434, 0.750).

Record 4
# KGaNiTe3

A relaxed KGaNiTe3 crystal (PBE, OQMD).

The value obtained for the energy is -3.537 eV per atom. The density is 5.309 Mg/m³.

It has space group Cmcm (No. 63), with a = 4.279 Å, b = 13.650 Å, c = 11.787 Å, α = 90.00°, β = 90.00° and γ = 90.00°. Symmetry generates all atoms from K at (0.000, 0.224, 0.250), Ga at (0.000, 0.500, 0.000), Ni at (0.000, 0.082, 0.750), Te at (0.000, 0.140, 0.549) and Te at (0.000, 0.490, 0.750).